1.
The following is a GGA-PBE calculation of an optimized crystal structure of YNi2Ru2, from the Alexandria database.

The structure in POSCAR format:
```
YNi2Ru2
1.0
-1.7274 -0.4990 -3.3262
2.0692 -3.1056 -0.6087
-3.7290 -4.8883 0.5208
Ru Ni Y
2 2 1
Cartesian
-2.6428 -3.5948 -2.3864
-0.7445 -4.8981 -1.0277
-0.6365 -2.4412 -1.4523
-2.7507 -6.0517 -1.9618
0.0000 0.0000 0.0000
```

total DFT energy (no corrections) = -36.76 eV/f.u.
energy above the most stable polymorph in this dataset = 0.0 meV/atom
V = 15.90 Å³/atom
calculated formation energy = -37 meV/atom
symmetry = No. 139


2.
The following is a GGA-PBE calculation of an optimized crystal structure of PmHo2Tm6Sc, from the Alexandria database.

The structure in POSCAR format:
```
PmHo2Tm6Sc
1.0
8.8640 -1.9292 -2.0021
0.8385 8.3541 -1.9295
0.8385 -2.2378 8.2769
Tm Pm Ho Sc
12 2 4 2
Cartesian
4.8614 -0.7355 5.8562
9.2935 4.9148 -1.5190
6.4510 1.3280 3.6853
5.6797 4.9225 -1.5110
2.1430 4.3233 -1.3995
6.5750 -2.5234 3.2674
1.2476 -0.7278 5.8642
3.9661 6.7105 1.0778
8.3981 -0.1363 5.7448
2.0190 4.5982 2.4648
4.0901 2.8590 0.6599
8.5221 -0.4111 1.8805
7.4866 -3.4234 6.5234
3.0545 7.6104 -2.1782
0.8654 2.0201 0.9811
5.2975 -0.0591 1.0540
5.2437 4.2461 3.2912
9.6757 2.1670 3.3642
3.0545 1.6585 3.5571
7.4866 2.5286 0.7881
```

total DFT energy (no corrections) = -45.77 eV/f.u.
V = 30.45 Å³/atom
calculated formation energy = 130 meV/atom
symmetry = No. 15


3.
The following is a GGA-PBE calculation of an optimized crystal structure of Ca2ZrCd2, from the Alexandria database.

The structure in POSCAR format:
```
Ca2ZrCd2
1.0
-7.6668 -0.0240 4.5153
4.4881 -1.0156 7.6153
0.1887 3.3707 0.3383
Zr Ca Cd
2 4 4
Cartesian
-1.5893 -0.5198 6.0653
0.0000 0.0000 0.0000
-4.2800 -0.1580 3.9619
1.1013 -0.8816 8.1687
-3.7151 -0.6711 8.7584
0.5364 -0.3685 3.3721
-1.1772 0.8149 9.5508
-1.8127 1.5162 2.9181
-4.8246 1.3183 6.5696
1.8347 1.0128 5.8993
```

total DFT energy (no corrections) = -13.81 eV/f.u.
energy above the most stable polymorph in this dataset = 85.1 meV/atom
V = 26.86 Å³/atom
calculated formation energy = 114 meV/atom
symmetry = No. 127


4.
The following is a GGA-PBE calculation of an optimized crystal structure of K2ScIr, from the Alexandria database.

The structure in POSCAR format:
```
K2ScIr
1.0
-0.7172 4.6519 4.8988
-0.6092 -6.7612 0.2593
2.2984 -0.9539 2.4002
Ir K Sc
1 2 1
Cartesian
0.8446 -3.8576 1.3298
0.0000 0.0000 0.0000
-0.6632 -1.0547 2.5790
0.7906 1.8490 3.6495
```

total DFT energy (no corrections) = -14.95 eV/f.u.
energy above the most stable polymorph in this dataset = 595.4 meV/atom
V = 25.00 Å³/atom
calculated formation energy = 610 meV/atom
symmetry = No. 12